A PBEsol-optimized structure of RbTiAlN2. Source: Alexandria via LeMat-Bulk, functional SCAN.

Space-group type: P4/mmm
E_form (uncorrected) in kcal/mol of atoms: 23.1
Electronic total energy in eV per atom: -11.6171
D(E_F) in states/eV per atom: 0.37

a b c (Å): 4.1026 4.1026 5.3430
angles (deg): 90.00 90.00 90.00
Site moments in Bohr magnetons follow the coordinates.
Sites, in units of the cell vectors:
Al: 0.5000 0.5000 0.5000  -0.01
Rb: 0.0000 0.0000 0.5000  -0.07
N: 0.5000 0.0000 0.0000  0.52
N: 0.0000 0.5000 0.0000  0.52
Ti: 0.0000 0.0000 0.0000  -0.66